Density functional theory data (GGA-PBE) for a geometry-optimized RbCd2O2 structure.

```
5
Lattice="-2.200 2.200 4.915 2.200 -2.200 4.915 2.200 2.200 -4.915" Properties=species:S:1:pos:R:3 pbc="T T T"
Rb 0.000 0.000 0.000
Cd 0.000 0.000 3.268
Cd 0.000 0.000 6.561
O 2.200 0.000 2.457
O 0.000 2.200 2.457
```

Calculated values
Total magnetization = 0.0 μB per cell
Energy above the most stable polymorph in this dataset = 0.049 eV/atom
Uncorrected formation energy = -0.79 eV/atom
D(E_F) = 2.0 states/eV/cell
DFT total energy = -3.33 eV/atom

***

Density functional theory data (GGA-PBE) for a geometry-optimized Cs3PmEr2S6 structure.

```
12
Lattice="3.569 -6.182 0.000 3.569 6.182 0.000 -2.380 0.000 8.069" Properties=species:S:1:pos:R:3 pbc="T T T"
Cs 0.000 0.000 0.000
Cs 3.569 2.046 0.000
Cs 3.569 -2.046 0.000
Pm 2.379 0.000 4.035
Er 2.379 4.121 4.035
Er 2.379 -4.121 4.035
S 1.158 2.115 2.566
S -0.062 0.000 5.499
S 1.158 -2.115 2.566
S 3.600 2.115 5.503
S 4.820 0.000 2.570
S 3.600 -2.115 5.503
```

Calculated values
Total magnetization = 0.0 μB per cell
Uncorrected formation energy = -1.82 eV/atom
D(E_F) = 0.0 states/eV/cell
DFT total energy = -5.26 eV/atom

***

Density functional theory data (GGA-PBE) for a geometry-optimized Ba2FeAg structure.

```
4
Lattice="0.000 3.888 3.888 3.888 0.000 3.888 3.888 3.888 0.000" Properties=species:S:1:pos:R:3 pbc="T T T"
Ba 0.000 0.000 0.000
Ba 1.944 1.944 1.944
Fe 3.888 3.888 3.888
Ag 5.833 5.833 5.833
```

Calculated values
Total magnetization = 3.2 μB per cell
Energy above the most stable polymorph in this dataset = 0.321 eV/atom
D(E_F) = 6.6 states/eV/cell
DFT total energy = -3.25 eV/atom

***

Density functional theory data (GGA-PBE) for a geometry-optimized CsSn2AsBr8 structure.

```
12
Lattice="7.095 0.000 0.000 1.166 7.298 0.000 1.319 2.021 9.429" Properties=species:S:1:pos:R:3 pbc="T T T"
Cs 0.000 0.000 0.000
Sn 4.129 3.731 2.316
Sn 5.449 5.588 7.113
As 0.659 1.011 4.714
Br 2.877 6.892 6.785
Br 2.836 6.483 3.051
Br 2.896 2.502 4.554
Br 3.161 2.053 0.377
Br 6.418 7.266 9.052
Br 6.683 6.817 4.875
Br 6.743 2.836 6.378
Br 6.701 2.427 2.644
```

Calculated values
Total magnetization = 0.0 μB per cell
Uncorrected formation energy = -0.78 eV/atom
D(E_F) = 0.0 states/eV/cell
DFT total energy = -3.02 eV/atom

***

Density functional theory data (GGA-PBE) for a geometry-optimized NaGaSiO4 structure.

```
14
Lattice="3.135 -4.688 0.000 3.135 4.688 0.000 0.000 0.000 5.927" Properties=species:S:1:pos:R:3 pbc="T T T"
Na 0.000 0.000 0.000
Na 0.000 0.000 2.964
Ga 3.135 1.305 4.446
Ga 3.135 -1.305 1.482
Si 3.135 1.256 1.482
Si 3.135 -1.256 4.446
O 3.135 2.216 0.133
O 3.135 2.216 2.830
O 1.876 0.160 1.482
O 1.876 -0.160 4.446
O 4.394 0.160 1.482
O 4.394 -0.160 4.446
O 3.135 -2.216 3.097
O 3.135 -2.216 5.794
```

Calculated values
Total magnetization = 0.0 μB per cell
Uncorrected formation energy = -2.21 eV/atom
D(E_F) = 0.0 states/eV/cell
DFT total energy = -6.43 eV/atom

***

Density functional theory data (GGA-PBE) for a geometry-optimized ZrAl5Ni2 structure.

```
16
Lattice="5.550 0.000 0.000 0.000 11.364 0.000 0.000 0.000 3.848" Properties=species:S:1:pos:R:3 pbc="T T T"
Zr 0.000 0.000 0.000
Zr 2.775 5.682 0.000
Al 0.000 5.682 0.000
Al 0.130 2.909 0.000
Al 1.309 7.153 1.924
Al 1.466 1.471 1.924
Al 2.645 8.590 0.000
Al 2.775 0.000 0.000
Al 2.904 2.773 0.000
Al 4.084 9.893 1.924
Al 4.241 4.211 1.924
Al 5.420 8.455 0.000
Ni 1.343 4.131 1.924
Ni 1.432 9.813 1.924
Ni 4.118 1.551 1.924
Ni 4.207 7.233 1.924
```

Calculated values
Total magnetization = 0.0 μB per cell
D(E_F) = 8.0 states/eV/cell
DFT total energy = -5.15 eV/atom

***

- What is the DFT total energy in the second record?
  -5.26 eV/atom

***

- Which of these has the highest total magnetization?
  Ba2FeAg